VASP calculation (GGA-PBE) on a relaxed RbMg2FeCl8 crystal.

Lattice parameters (Å, degrees): 6.2302 6.2837 8.8076 77.63 78.25 76.47
Closest atoms and distances in Å follow each position.
Positions (direct):
Rb (0.0000, 0.0000, 0.5000)  6 Cl 3.23-3.31
Mg (0.4466, 0.4454, 0.7244)  5 Cl 2.39-2.60
Mg (0.5534, 0.5546, 0.2756)  5 Cl 2.39-2.60
Fe (0.0000, 0.0000, 0.0000)  6 Cl 2.34-2.46
Cl (0.1877, 0.7373, 0.2057)  1 Mg 2.44, 1 Fe 2.46
Cl (0.7485, 0.7634, 0.0314)  1 Fe 2.34, 1 Mg 2.51
Cl (0.7453, 0.1981, 0.2000)  1 Mg 2.44, 1 Fe 2.46
Cl (0.8123, 0.2627, 0.7943)  1 Mg 2.44, 1 Fe 2.46
Cl (0.2515, 0.2366, 0.9686)  1 Fe 2.34, 1 Mg 2.51
Cl (0.2547, 0.8019, 0.8000)  1 Mg 2.44, 1 Fe 2.46
Cl (0.6574, 0.6770, 0.4846)  2 Mg 2.39-2.60
Cl (0.3426, 0.3230, 0.5154)  2 Mg 2.39-2.60

Computed properties:
- M_tot: 4.99 Bohr magnetons per cell
- Uncorrected formation energy: -136.8 kJ per mole of atoms
- Calculated volume: 323.14 Å³/cell
- VASP energy: -3.700 eV per atom